Crystalline KIn3S at its relaxed geometry. Source: Alexandria via LeMat-Bulk, functional GGA-PBE.

CIF file:
```
data_KIn3S
_chemical_formula_sum 'K1 In3 S1'
_symmetry_space_group_name_H-M 'P m -3 m'
_symmetry_Int_Tables_number 221
_symmetry_space_group_name_Hall '-P 4 2 3'
_cell_length_a 6.094
_cell_length_b 6.094
_cell_length_c 6.094
_cell_angle_alpha 90.00
_cell_angle_beta 90.00
_cell_angle_gamma 90.00
loop_
_atom_site_label
_atom_site_type_symbol
_atom_site_fract_x
_atom_site_fract_y
_atom_site_fract_z
K1 K 0.000 0.000 0.000
In1 In 0.000 0.000 0.500
S1 S 0.500 0.500 0.500
```

## Properties
**Offset from the most stable computed form**: 870 meV/atom
**Energy relative to the elements, uncorrected**: 932 meV per atom
**D(E_F)**: 0.509 states/eV per atom